Computed, not measured: CoP2W after structural relaxation at the PBE level of DFT.

a = 3.3077 Å, b = 3.3077 Å, c = 11.2227 Å
α = 90.00°, β = 90.00°, γ = 120.00°
Closest atoms and distances in Å follow each position.
Space group P6_3/mmc (No. 194)
Symmetry-distinct sites (fractional):
Co: 0.0000 0.0000 0.0000 [2 per cell]  6 P 2.27
P: 0.3333 0.6667 0.1088 [4 per cell]  3 Co 2.27, 3 W 2.48
W: 0.0000 0.0000 0.2500 [2 per cell]  6 P 2.48

Results
* V: 13.292 Å³ per atom
* ΔE_f: -0.52 eV per atom

---

Computed, not measured: LuPuInBi after structural relaxation at the PBE level of DFT.

a = 7.6055 Å, b = 7.6055 Å, c = 7.6055 Å
α = 90.00°, β = 90.00°, γ = 90.00°
Closest atoms and distances in Å follow each position.
Space group F-43m (No. 216)
Symmetry-distinct sites (fractional):
Lu: 0.0000 0.0000 0.0000 [4 per cell]  4 In 3.29, 4 Bi 3.29
Pu: 0.0000 0.0000 0.5000 [4 per cell]  4 Bi 3.29, 4 In 3.29
In: 0.2500 0.2500 0.7500 [4 per cell]  4 Pu 3.29, 4 Lu 3.29
Bi: 0.2500 0.2500 0.2500 [4 per cell]  4 Lu 3.29, 4 Pu 3.29

Results
* V: 27.496 Å³ per atom
* ΔE_f: -0.26 eV per atom

---

Computed, not measured: MgZrSi after structural relaxation at the PBE level of DFT.

a = 3.9170 Å, b = 3.9170 Å, c = 14.5687 Å
α = 90.00°, β = 90.00°, γ = 90.00°
Closest atoms and distances in Å follow each position.
Space group I4/mmm (No. 139)
Symmetry-distinct sites (fractional):
Mg: 0.0000 0.5000 0.0000 [4 per cell]  4 Mg 2.77, 4 Si 2.81
Zr: 0.0000 0.0000 0.1756 [4 per cell]  5 Si 2.71-2.82
Si: 0.0000 0.0000 0.3618 [4 per cell]  5 Zr 2.71-2.82, 4 Mg 2.81

Results
* V: 18.627 Å³ per atom
* total DFT energy (no corrections): -5.709 eV/atom

---

Computed, not measured: LiPu2Ni3As4 after structural relaxation at the PBE level of DFT.

a = 4.2099 Å, b = 4.2099 Å, c = 9.4568 Å
α = 90.00°, β = 90.00°, γ = 90.00°
Closest atoms and distances in Å follow each position.
Space group P-4m2 (No. 115)
Symmetry-distinct sites (fractional):
Li: 0.0000 0.0000 0.0000 [1 per cell]  4 As 2.48
Pu: 0.0000 0.5000 0.7454 [2 per cell]  8 As 3.13-3.17, 2 Li 3.20, 7 Ni 3.20-3.40
Ni: 0.0000 0.5000 0.3858 [2 per cell]  5 As 2.34-2.37
Ni: 0.5000 0.5000 0.0000 [1 per cell]  4 As 2.48
As: 0.0000 0.0000 0.5000 [1 per cell]  4 Ni 2.37
As: 0.0000 0.5000 0.1385 [2 per cell]  3 Ni 2.34-2.48, 2 Li 2.48
As: 0.5000 0.5000 0.5000 [1 per cell]  4 Ni 2.37

Results
* V: 16.760 Å³ per atom
* ΔE_f: -0.67 eV per atom